Record 1
Hg3Mo: relaxed, GGA-PBE.

Properties
Its crystal system is monoclinic. As for the space group: No. 10. The value obtained for the total magnetic moment is 0.000 Bohr magnetons per cell.

a = 2.981 Å, b = 5.039 Å, c = 5.466 Å
α = 90.00°, β = 88.93°, γ = 90.00°
Fractional positions:
Hg  0.020  0.000  0.985
Hg  0.480  0.000  0.515
Hg  0.250  0.500  0.250
Mo  0.750  0.500  0.750

Record 2
Hg4Mo3: relaxed, GGA-PBE.

Properties
Its crystal system is tetragonal. As for the space group: No. 139. The value obtained for the total magnetic moment is 0.000 Bohr magnetons per cell.

a = 14.672 Å, b = 14.672 Å, c = 14.672 Å
α = 167.97°, β = 167.97°, γ = 17.04°
Fractional positions:
Hg  0.848  0.848  0.000
Hg  0.569  0.569  0.000
Hg  0.431  0.431  0.000
Hg  0.152  0.152  0.000
Mo  0.000  0.000  0.000
Mo  0.726  0.726  0.000
Mo  0.274  0.274  0.000

Record 3
Hg3Mo: relaxed, GGA-PBE.

Properties
Its crystal system is tetragonal. As for the space group: No. 139. The value obtained for the total magnetic moment is 2.872 Bohr magnetons per cell.

a = 4.289 Å, b = 5.508 Å, c = 4.289 Å
α = 67.09°, β = 90.00°, γ = 112.91°
Fractional positions:
Hg  0.000  0.000  0.000
Hg  0.500  0.000  0.500
Hg  0.750  0.500  0.750
Mo  0.250  0.500  0.250

Energy of formation from the pure elements, respectively: 623 522 681 meV per atom.
Energy relative to the lowest polymorph listed for this composition, respectively: 1.26 0.00 1.49 eV per formula unit.